# 1
The following is a PBE calculation of crystalline InAgRh3 at its relaxed geometry, from Alexandria via LeMat-Bulk.

Calculated values
Density of states at the Fermi level in states/eV/cell: 7.8
Space group: Pm-3m (221)
Relative energy among the computed polymorphs in eV/atom: 0.0000

a = 4.879 Å, b = 4.879 Å, c = 4.879 Å
α = 90.00°, β = 90.00°, γ = 90.00°
Fractional coordinates of all 5 atoms:
In1 0.000 0.000 0.000
Ag1 0.500 0.500 0.500
Rh1 0.000 0.000 0.500
Rh2 0.000 0.500 0.000
Rh3 0.500 0.000 0.000

# 2
The following is a PBE calculation of crystalline Rb2HoGaS4 at its relaxed geometry, from Alexandria via LeMat-Bulk.

Calculated values
Space group: C2/c (15)
E_form (uncorrected) in meV/atom: -1164

a = 8.285 Å, b = 8.285 Å, c = 8.377 Å
α = 118.17°, β = 118.17°, γ = 92.54°
Fractional coordinates of all 16 atoms:
Rb1 0.000 0.000 0.000
Rb2 0.000 0.000 0.500
Rb3 0.000 0.500 0.000
Rb4 0.500 0.000 0.500
Ho1 0.000 0.500 0.500
Ho2 0.500 0.000 0.000
Ga1 0.500 0.500 0.000
Ga2 0.500 0.500 0.500
S1 0.260 0.722 0.953
S2 0.278 0.740 0.547
S3 0.287 0.315 0.512
S4 0.315 0.287 0.012
S5 0.685 0.713 0.988
S6 0.713 0.685 0.488
S7 0.722 0.260 0.453
S8 0.740 0.278 0.047

# 3
The following is a PBE calculation of crystalline Co5Ni2 at its relaxed geometry, from Alexandria via LeMat-Bulk.

Calculated values
Density of states at the Fermi level in states/eV/cell: 7.1
Space group: C2/m (12)
Uncorrected energy in eV/atom: -6.724

a = 4.299 Å, b = 4.299 Å, c = 5.557 Å
α = 97.67°, β = 97.67°, γ = 48.62°
Fractional coordinates of all 7 atoms:
Co1 0.000 0.000 0.000
Co2 0.144 0.144 0.428
Co3 0.286 0.286 0.855
Co4 0.714 0.714 0.145
Co5 0.856 0.856 0.572
Ni1 0.428 0.428 0.284
Ni2 0.572 0.572 0.716

# 4
The following is a PBE calculation of crystalline Pm9Nd4Mg11 at its relaxed geometry, from Alexandria via LeMat-Bulk.

Calculated values
Density of states at the Fermi level in states/eV/cell: 23.4
Space group: Cmmm (65)
Uncorrected energy in eV/atom: -3.361

a = 14.249 Å, b = 14.249 Å, c = 3.735 Å
α = 90.00°, β = 90.00°, γ = 110.41°
Fractional coordinates of all 24 atoms:
Pm1 0.000 0.000 0.000
Pm2 0.120 0.647 0.000
Pm3 0.293 0.475 0.000
Pm4 0.353 0.880 0.000
Pm5 0.475 0.293 0.000
Pm6 0.525 0.707 0.000
Pm7 0.647 0.120 0.000
Pm8 0.707 0.525 0.000
Pm9 0.880 0.353 0.000
Nd1 0.071 0.246 0.000
Nd2 0.246 0.071 0.000
Nd3 0.754 0.929 0.000
Nd4 0.929 0.754 0.000
Mg1 0.089 0.445 0.500
Mg2 0.140 0.860 0.500
Mg3 0.276 0.276 0.500
Mg4 0.324 0.676 0.500
Mg5 0.445 0.089 0.500
Mg6 0.500 0.500 0.500
Mg7 0.555 0.911 0.500
Mg8 0.676 0.324 0.500
Mg9 0.724 0.724 0.500
Mg10 0.860 0.140 0.500
Mg11 0.911 0.555 0.500